CeInSi, optimized geometry, DFT PBE-GGA; uncorrected formation energy = -116 kJ/mol of formula units; calculated total energy = -5.098 eV/atom; total moment = 0.24 μB per atom; SG = Cmcm, No. 63
1.0
-1.018 -3.328 1.463
3.518 -1.886 -1.843
6.604 0.838 6.504
Ce In Si
2 2 2
Cartesian
4.974 -1.976 6.275
4.129 -2.400 -0.150
5.410 -3.406 3.325
3.693 -0.970 2.800
7.710 -1.083 5.339
1.393 -3.293 0.786

Ce4InSi, optimized geometry, DFT PBE-GGA; uncorrected formation energy = -118 kJ/mol of formula units; calculated total energy = -5.520 eV/atom; total moment = 0.24 μB per atom; distance to the lowest polymorph of the same formula = 130 meV per atom; SG = Immm, No. 71
1.0
4.801 0.002 1.766
2.563 5.375 0.432
0.609 -1.467 5.755
Ce In Si
4 1 1
Cartesian
5.659 1.782 6.835
6.309 4.058 5.065
2.313 2.128 1.118
1.664 -0.147 2.888
4.801 0.002 1.765
3.986 1.955 3.976

Ce5In2Si2, optimized geometry, DFT PBE-GGA; uncorrected formation energy = -371 kJ/mol of formula units; calculated total energy = -5.537 eV/atom; total moment = 0.49 μB per atom; SG = Cmce, No. 64
1.0
7.759 0.000 0.000
0.000 7.646 0.000
0.000 -3.823 8.141
In Ce Si
4 10 4
Cartesian
3.879 0.000 4.436
3.879 3.823 3.706
0.000 0.000 3.706
0.000 3.823 4.436
6.323 1.500 6.145
0.000 0.000 0.000
5.315 -2.323 6.145
5.315 1.500 1.996
6.323 5.323 1.996
3.879 3.823 0.000
2.443 6.146 1.996
2.443 2.323 6.145
1.436 2.323 1.996
1.436 -1.500 6.145
3.004 0.830 0.000
4.755 6.816 0.000
6.883 2.993 0.000
0.875 4.653 0.000

Ce10In6Si, optimized geometry, DFT PBE-GGA; uncorrected formation energy = -433 kJ/mol of formula units; calculated total energy = -5.040 eV/atom; total moment = 0.75 μB per atom; SG = P-31m, No. 162
1.0
6.184 0.000 0.000
0.000 8.340 -4.815
0.000 0.000 9.631
In Ce Si
6 10 1
Cartesian
1.573 0.000 3.805
1.573 3.295 -1.903
4.611 0.000 5.826
4.611 5.045 -2.913
4.611 3.295 1.903
1.573 5.045 2.913
3.092 5.560 0.000
1.522 0.000 7.198
3.092 2.780 4.815
0.000 2.780 4.815
4.662 6.233 3.599
1.522 6.233 -3.599
4.662 0.000 2.433
0.000 5.560 0.000
1.522 2.107 1.217
4.662 2.107 -1.217
3.092 0.000 0.000

Ce4InSi, optimized geometry, DFT PBE-GGA; uncorrected formation energy = -194 kJ/mol of formula units; calculated total energy = -5.651 eV/atom; total moment = 0.23 μB per atom; distance to the lowest polymorph of the same formula = 0 meV per atom; SG = P2_1/m, No. 11
1.0
-2.916 -4.754 1.671
6.691 0.992 5.625
-3.681 3.576 3.748
In Ce Si
2 8 2
Cartesian
-1.591 -1.020 2.104
1.685 0.833 8.941
-1.427 -4.329 2.879
-2.268 1.229 4.681
3.259 2.455 6.396
0.295 -1.691 4.597
1.521 4.143 8.165
2.362 -1.416 6.364
-3.165 -2.642 4.648
-0.201 1.505 6.448
-2.022 -0.758 6.818
2.116 0.572 4.226

Ce4InSi2, optimized geometry, DFT PBE-GGA; uncorrected formation energy = -190 kJ/mol of formula units; calculated total energy = -5.612 eV/atom; total moment = 0.43 μB per atom; SG = R-3m, No. 166
1.0
-2.246 0.870 3.441
0.759 -2.062 3.580
7.921 8.385 5.614
Ce In Si
4 1 2
Cartesian
0.040 0.162 2.549
5.216 5.563 4.562
6.393 7.032 10.087
1.217 1.631 8.073
3.217 3.597 6.318
5.814 6.308 7.328
0.619 0.886 5.307

CeSmIn, optimized geometry, DFT PBE-GGA; calculated formation energy = -160.1 meV per atom; calculated total energy = -4.624 eV/atom; total moment = 0.20 μB per atom; distance to the lowest polymorph of the same formula = 139 meV per atom; SG = Immm, No. 71
1.0
-2.395 2.200 -4.399
-6.219 0.745 0.357
1.278 6.047 -1.073
Sm In Ce
2 2 2
Cartesian
-4.959 3.583 -2.312
-2.376 5.409 -2.804
-5.483 6.712 -3.862
-1.851 2.280 -1.253
0.215 5.295 -0.871
-5.155 1.497 0.154

CeSm3In2, optimized geometry, DFT PBE-GGA; calculated formation energy = -280.0 meV per atom; calculated total energy = -4.541 eV/atom; total moment = 0.04 μB per atom; SG = Cmmm, No. 65
1.0
-4.640 -2.124 -2.049
-0.894 -3.964 6.133
-1.720 9.472 1.459
In Sm Ce
4 6 2
Cartesian
-3.533 2.439 5.474
-4.168 -1.037 3.135
-3.721 0.945 0.069
-3.086 4.421 2.408
-1.799 1.266 2.763
-2.246 -0.716 5.829
-5.455 2.118 2.780
-2.544 -2.053 0.509
-5.008 4.100 -0.286
-2.990 -4.035 3.575
-0.447 -1.982 3.067
0.000 0.000 0.000

Ce2SmIn9, optimized geometry, DFT PBE-GGA; calculated formation energy = -429.3 meV per atom; calculated total energy = -3.865 eV/atom; total moment = 0.13 μB per atom; SG = P4/mmm, No. 123
1.0
4.700 0.000 0.000
0.000 4.700 0.000
0.000 0.000 14.101
In Sm Ce
9 1 2
Cartesian
0.000 2.350 7.051
2.350 2.350 9.396
2.350 0.000 2.343
2.350 2.350 0.000
2.350 2.350 4.705
0.000 2.350 11.758
2.350 0.000 11.758
2.350 0.000 7.051
0.000 2.350 2.343
0.000 0.000 0.000
0.000 0.000 4.685
0.000 0.000 9.417

Ce3SmIn12, optimized geometry, DFT PBE-GGA; calculated formation energy = -422.5 meV per atom; calculated total energy = -3.884 eV/atom; total moment = 0.14 μB per atom; SG = P4/mmm, No. 123
1.0
-4.530 -0.257 -1.203
-0.201 -4.374 1.692
-4.875 6.764 16.908
In Ce Sm
12 3 1
Cartesian
-6.021 2.756 12.922
-6.532 5.792 14.200
-4.368 3.734 15.647
-1.927 0.347 7.181
-2.872 0.714 1.505
-3.585 -0.623 4.474
-0.708 -1.344 2.953
-4.091 2.406 5.734
-5.313 4.101 9.971
-2.365 -2.315 0.244
-4.803 1.067 8.698
-3.149 2.042 11.419
-1.214 1.684 4.210
-2.438 3.382 8.454
-3.661 5.080 12.698
0.000 0.000 0.000

CeSmIn3, optimized geometry, DFT PBE-GGA; calculated formation energy = -123.4 meV per atom; calculated total energy = -3.897 eV/atom; total moment = 0.21 μB per atom; SG = P6_3/mmc, No. 194
1.0
6.108 0.000 0.000
0.000 7.573 -0.001
0.000 -3.786 6.559
In Ce Sm
6 2 2
Cartesian
4.581 1.456 5.211
1.527 5.240 1.346
4.581 -1.453 5.212
4.581 0.001 2.693
1.527 2.332 1.347
1.527 3.786 3.865
0.000 0.000 0.000
3.054 0.000 0.000
1.527 0.003 4.371
4.581 3.785 2.187

CeSm3In4, optimized geometry, DFT PBE-GGA; calculated formation energy = -447.6 meV per atom; calculated total energy = -4.328 eV/atom; total moment = 0.12 μB per atom; distance to the lowest polymorph of the same formula = 0 meV per atom; SG = P4/mmm, No. 123
1.0
-1.222 -3.181 -1.702
3.606 -1.123 -0.489
-0.384 -7.252 13.829
In Sm Ce
4 3 1
Cartesian
-0.049 -0.934 1.780
-0.240 -4.526 8.631
-0.335 -6.318 12.049
-0.145 -2.726 5.199
1.095 -3.982 2.394
0.905 -7.574 9.245
1.000 -5.778 5.819
1.192 -2.152 -1.095

Ce2SmIn2, optimized geometry, DFT PBE-GGA; calculated formation energy = -72.9 meV per atom; calculated total energy = -4.486 eV/atom; total moment = 0.42 μB per atom; SG = Cmmm, No. 65
1.0
4.484 -0.768 0.232
-0.336 4.536 0.232
-0.443 -0.403 7.274
Ce In Sm
2 2 1
Cartesian
3.383 -0.002 3.869
0.321 3.368 3.869
1.724 1.566 5.998
1.980 1.799 1.740
0.000 0.000 0.000

CeSm2In, optimized geometry, DFT PBE-GGA; calculated formation energy = -224.8 meV per atom; calculated total energy = -4.752 eV/atom; total moment = 0.18 μB per atom; distance to the lowest polymorph of the same formula = 0 meV per atom; SG = P4/mmm, No. 123
1.0
4.736 0.000 0.000
0.000 4.967 0.000
0.000 0.000 4.967
Ce Sm In
1 2 1
Cartesian
2.368 0.000 0.000
0.000 2.484 0.000
0.000 0.000 2.484
2.368 2.484 2.484

CeSm2In6, optimized geometry, DFT PBE-GGA; calculated formation energy = -420.9 meV per atom; calculated total energy = -3.955 eV/atom; total moment = 0.10 μB per atom; distance to the lowest polymorph of the same formula = 0 meV per atom; SG = P6/mmm, No. 191
1.0
-0.848 -2.786 2.182
7.440 -3.970 -2.175
-0.216 5.410 6.821
Sm In Ce
2 6 1
Cartesian
4.040 -3.629 3.006
2.336 2.284 3.823
6.944 -3.556 1.194
1.988 -0.912 2.643
4.387 -0.433 4.186
2.061 -2.719 0.365
-0.568 2.211 5.635
4.315 1.373 6.464
-0.216 5.410 6.821

CeSm5In6, optimized geometry, DFT PBE-GGA; calculated formation energy = -460.7 meV per atom; calculated total energy = -4.291 eV/atom; total moment = 0.09 μB per atom; SG = Immm, No. 71
1.0
4.917 1.240 0.000
2.779 9.714 0.000
1.389 4.857 7.599
Sm Ce In
5 1 6
Cartesian
3.848 5.477 0.000
1.389 4.857 2.553
5.237 10.334 2.487
3.848 5.477 5.113
2.779 9.714 5.047
0.000 0.000 0.000
3.316 7.585 2.550
5.776 8.195 0.000
5.769 8.226 5.050
4.380 3.369 2.550
4.705 12.442 5.050
1.919 2.759 0.000

Ce2Sm3In3, optimized geometry, DFT PBE-GGA; calculated formation energy = -318.6 meV per atom; calculated total energy = -4.599 eV/atom; total moment = 0.22 μB per atom; SG = Immm, No. 71
1.0
-4.251 -1.400 0.722
0.862 -3.988 -2.658
4.786 -2.309 9.477
Sm In Ce
3 3 2
Cartesian
-2.125 -0.700 0.361
2.349 -3.800 6.462
-0.951 -3.897 1.078
0.431 -1.994 -1.329
0.780 -1.263 2.147
0.618 -6.434 5.393
-0.619 -3.137 4.505
2.017 -4.560 3.035

Ce4Sm9In11, optimized geometry, DFT PBE-GGA; calculated formation energy = -369.7 meV per atom; calculated total energy = -4.383 eV/atom; total moment = 0.18 μB per atom; SG = Cmmm, No. 65
1.0
3.514 0.000 0.000
0.000 13.427 -3.546
0.000 2.016 13.740
Sm Ce In
9 4 11
Cartesian
1.757 3.156 7.951
1.757 12.633 10.584
1.757 7.721 5.097
1.757 2.809 -0.390
1.757 8.551 -0.222
1.757 12.286 2.243
1.757 6.891 10.416
1.757 14.697 7.458
1.757 0.745 2.736
1.757 9.150 7.958
1.757 6.293 2.236
1.757 10.913 5.286
1.757 4.529 4.908
0.000 9.754 10.721
0.000 1.750 5.438
0.000 6.098 7.556
0.000 13.692 4.756
0.000 3.512 2.319
0.000 5.688 -0.528
0.000 11.380 -0.446
0.000 0.000 0.000
0.000 11.930 7.875
0.000 4.062 10.640
0.000 9.345 2.638

CeSm4In5, optimized geometry, DFT PBE-GGA; calculated formation energy = -457.0 meV per atom; calculated total energy = -4.307 eV/atom; total moment = 0.10 μB per atom; SG = P4/mmm, No. 123
1.0
3.633 0.000 0.000
0.000 3.633 0.000
0.000 0.000 21.332
Sm In Ce
4 5 1
Cartesian
0.000 0.000 12.788
0.000 0.000 17.018
0.000 0.000 8.544
0.000 0.000 4.314
1.816 1.816 6.420
1.816 1.816 19.161
1.816 1.816 10.666
1.816 1.816 14.912
1.816 1.816 2.171
0.000 0.000 0.000

CeSm3In3, optimized geometry, DFT PBE-GGA; calculated formation energy = -291.8 meV per atom; calculated total energy = -4.336 eV/atom; total moment = 0.18 μB per atom; SG = P6_3/m, No. 176
1.0
-1.458 1.535 -4.817
-3.183 -8.826 -1.850
-5.873 6.493 3.847
Sm In Ce
6 6 2
Cartesian
-5.589 6.097 -0.676
-3.238 0.614 -3.135
-1.132 -1.700 -1.636
-7.276 -1.412 0.315
-9.382 0.903 -1.184
-4.925 -6.895 -2.144
-2.968 -2.403 -4.178
-4.263 -0.043 -0.160
-4.214 3.748 1.033
-6.251 -0.755 -2.660
-6.300 -4.546 -3.853
-7.545 1.606 1.358
-4.444 -3.336 -1.155
-6.070 2.538 -1.665